# AcCe3Bi4 | Alexandria | PBE | relaxed
# Symmetry: No. 65
# ΔH_f (0 K): -831 meV per atom
# Crystal system: orthorhombic
data_AcCe3Bi4
_chemical_formula_sum 'Ac2 Ce6 Bi8'
_cell_length_a 9.364
_cell_length_b 13.234
_cell_length_c 4.676
_cell_angle_alpha 90.00
_cell_angle_beta 90.00
_cell_angle_gamma 90.00
_space_group_name_H-M_alt 'P 1'
_space_group_IT_number 1
_space_group_name_Hall 'P 1'
loop_
_atom_site_label
_atom_site_fract_x
_atom_site_fract_y
_atom_site_fract_z
Ac1 0.000 0.000 0.000
Ac2 0.500 0.500 0.000
Ce1 0.000 0.500 0.000
Ce2 0.250 0.250 0.500
Ce3 0.250 0.750 0.500
Ce4 0.500 0.000 0.000
Ce5 0.750 0.250 0.500
Ce6 0.750 0.750 0.500
Bi1 0.000 0.256 0.000
Bi2 0.000 0.744 0.000
Bi3 0.238 0.500 0.500
Bi4 0.262 0.000 0.500
Bi5 0.500 0.244 0.000
Bi6 0.500 0.756 0.000
Bi7 0.738 0.000 0.500
Bi8 0.762 0.500 0.500